The following is a DFT calculation (PBEsol) of an optimized crystal structure of Er2ZnRu.

Results
DOS at the Fermi energy ... 0.629 states/eV per atom
DFT total energy ... -5.774 eV per atom
E_form ... -372 meV/atom
Symmetry ... Fm-3m
Volume ... 19.33 Å³/atom

a = 6.7626 Å, b = 6.7626 Å, c = 6.7626 Å
α = 90.00°, β = 90.00°, γ = 90.00°
Positions (direct):
Er1 0.2500 0.2500 0.2500
Er2 0.2500 0.2500 0.7500
Er3 0.2500 0.7500 0.2500
Er4 0.2500 0.7500 0.7500
Er5 0.7500 0.2500 0.2500
Er6 0.7500 0.2500 0.7500
Er7 0.7500 0.7500 0.2500
Er8 0.7500 0.7500 0.7500
Zn1 0.0000 0.0000 0.0000
Zn2 0.0000 0.5000 0.5000
Zn3 0.5000 0.0000 0.5000
Zn4 0.5000 0.5000 0.0000
Ru1 0.0000 0.0000 0.5000
Ru2 0.0000 0.5000 0.0000
Ru3 0.5000 0.0000 0.0000
Ru4 0.5000 0.5000 0.5000